The following is a DFT calculation (GGA-PBE) of an optimized crystal structure of NaSrCa6.

Structure (POSCAR):
```
NaSrCa6
1.0
7.017 0.000 0.000
0.007 7.019 0.000
0.024 0.034 7.019
Na Sr Ca
1 1 6
Cartesian
0.000 0.000 0.000
3.524 3.527 3.509
0.012 3.513 1.742
7.037 3.540 5.276
1.754 0.020 3.510
3.513 1.743 0.005
3.535 5.310 7.013
5.294 7.033 3.509
```

Calculated values
M_tot = 0.000 μB per atom
space group = P-1
energy = -14.392 eV/cell
N(E_F) = 1.14 states/eV/atom

=====

The following is a DFT calculation (GGA-PBE) of an optimized crystal structure of NaSr6Ca.

Structure (POSCAR):
```
NaSr6Ca
1.0
5.260 3.037 4.300
-5.260 3.037 4.300
0.000 -6.074 4.300
Na Sr Ca
1 6 1
Cartesian
0.000 0.000 0.000
-2.629 0.000 3.228
2.629 0.000 9.672
1.315 -2.277 3.228
1.314 2.277 3.228
-1.314 -2.277 9.672
-1.315 2.277 9.672
0.000 0.000 6.450
```

Calculated values
M_tot = 0.000 μB per atom
space group = R-3
polymorph energy (0 for the lowest one) = 0.033 eV/atom
N(E_F) = 1.16 states/eV/atom

=====

The following is a DFT calculation (GGA-PBE) of an optimized crystal structure of Na2SrCa6.

Structure (POSCAR):
```
Na2SrCa6
1.0
3.917 0.000 0.000
-1.958 3.392 0.000
0.000 0.000 29.126
Na Sr Ca
2 1 6
Cartesian
0.000 0.000 4.897
0.000 0.000 24.229
1.958 1.131 14.563
0.000 0.000 11.185
0.000 0.000 17.940
1.958 1.131 1.797
1.958 1.131 8.023
1.958 1.131 21.103
1.958 1.131 27.328
```

Calculated values
M_tot = 0.000 μB per atom
space group = P-6m2
polymorph energy (0 for the lowest one) = 0.038 eV/atom
N(E_F) = 1.02 states/eV/atom

=====

The following is a DFT calculation (GGA-PBE) of an optimized crystal structure of NaSr2Ca5.

Structure (POSCAR):
```
NaSr2Ca5
1.0
9.928 0.000 0.000
0.000 17.056 0.000
0.000 0.000 4.188
Na Sr Ca
2 4 10
Cartesian
0.000 0.000 0.000
4.964 8.528 0.000
2.289 2.089 2.094
2.676 10.617 2.094
7.253 6.439 2.094
7.640 14.968 2.094
0.000 8.528 0.000
0.010 12.565 0.000
2.328 14.918 2.094
2.636 6.390 2.094
4.954 4.037 0.000
4.964 0.000 0.000
4.974 13.019 0.000
7.292 10.667 2.094
7.600 2.138 2.094
9.918 4.491 0.000
```

Calculated values
M_tot = 0.000 μB per atom
space group = Pbam
polymorph energy (0 for the lowest one) = 0.000 eV/atom
N(E_F) = 1.07 states/eV/atom

=====

The following is a DFT calculation (GGA-PBE) of an optimized crystal structure of Na3Sr3Ca.

Structure (POSCAR):
```
Na3Sr3Ca
1.0
5.760 -6.512 0.000
5.760 6.512 0.000
0.000 0.000 8.731
Na Sr Ca
6 6 2
Cartesian
0.000 0.000 2.049
0.000 0.000 6.681
2.880 3.256 2.087
2.880 3.256 6.644
2.880 -3.256 2.087
2.880 -3.256 6.644
5.760 3.534 4.365
3.383 0.000 4.365
3.490 0.000 0.000
8.030 0.000 0.000
8.136 0.000 4.365
5.760 -3.534 4.365
5.760 3.502 0.000
5.760 -3.502 0.000
```

Calculated values
M_tot = 0.000 μB per atom
space group = Cmmm
polymorph energy (0 for the lowest one) = 0.034 eV/atom
N(E_F) = 0.93 states/eV/atom

=====

The following is a DFT calculation (GGA-PBE) of an optimized crystal structure of NaSr2Ca5.

Structure (POSCAR):
```
NaSr2Ca5
1.0
8.054 0.000 0.000
0.000 16.059 0.000
0.000 0.000 5.505
Na Sr Ca
2 4 10
Cartesian
0.000 0.000 0.000
4.027 8.030 0.000
1.864 1.933 2.753
2.162 9.962 2.753
5.891 6.097 2.753
6.189 14.126 2.753
0.000 8.030 0.000
0.178 12.065 0.000
1.831 5.941 2.753
2.196 13.970 2.753
3.849 4.035 0.000
4.027 0.000 0.000
4.205 12.024 0.000
5.858 2.089 2.753
6.223 10.118 2.753
7.875 3.994 0.000
```

Calculated values
M_tot = 0.000 μB per atom
space group = Pbam
polymorph energy (0 for the lowest one) = 0.003 eV/atom
N(E_F) = 1.13 states/eV/atom

=====

The following is a DFT calculation (GGA-PBE) of an optimized crystal structure of Na2Sr5Ca4.

Structure (POSCAR):
```
Na2Sr5Ca4
1.0
10.253 0.000 0.000
0.000 23.622 0.000
0.000 0.000 4.258
Na Sr Ca
4 10 8
Cartesian
0.397 4.537 0.000
4.729 16.348 0.000
5.524 7.274 0.000
9.856 19.085 0.000
0.000 11.811 2.129
1.345 1.636 2.129
2.505 6.678 2.129
2.622 18.489 2.129
3.782 13.447 2.129
5.126 0.000 2.129
6.471 10.174 2.129
7.631 5.133 2.129
7.748 16.944 2.129
8.908 21.985 2.129
0.724 15.319 0.000
2.172 21.906 0.000
2.954 10.095 0.000
4.402 3.508 0.000
5.850 20.113 0.000
7.299 13.527 0.000
8.081 1.716 0.000
9.529 8.302 0.000
```

Calculated values
M_tot = 0.000 μB per atom
space group = Pbam
energy = -37.347 eV/cell
N(E_F) = 0.92 states/eV/atom

=====

The following is a DFT calculation (GGA-PBE) of an optimized crystal structure of Na4Sr2Ca.

Structure (POSCAR):
```
Na4Sr2Ca
1.0
-3.585 3.585 6.723
3.585 -3.585 6.723
3.585 3.585 -6.723
Na Sr Ca
4 2 1
Cartesian
2.089 0.000 0.000
5.081 0.000 0.000
0.000 2.089 0.000
0.000 5.081 0.000
3.585 0.000 3.362
0.000 3.585 3.362
0.000 0.000 6.723
```

Calculated values
M_tot = 0.000 μB per atom
space group = I4/mmm
energy = -8.577 eV/cell
N(E_F) = 1.02 states/eV/atom